Entry 1:
{
  "formula": "Tl3AgPd4",
  "functional": "PBE",
  "state": "optimized geometry",
  "spacegroup": "Imm2",
  "lattice": [[-2.8737, 5.1335, 2.6889], [2.8737, -5.1335, 2.6889], [2.8737, 5.1335, -2.6889]],
  "species": ["Tl", "Tl", "Tl", "Ag", "Pd", "Pd", "Pd", "Pd"],
  "fractional_positions": [[0.0000, 0.0000, 0.0000], [0.0859, 0.7982, 0.2877], [0.5106, 0.7982, 0.7123], [0.9334, 0.4334, 0.5000], [0.0686, 0.3003, 0.7682], [0.4975, 0.2565, 0.7590], [0.4975, 0.7385, 0.2410], [0.5321, 0.3003, 0.2318]]
}

---

Entry 2:
{
  "formula": "TlAg2Pd3",
  "functional": "PBE",
  "state": "optimized geometry",
  "spacegroup": "Cmmm",
  "e_above_lowest_polymorph_ev_per_fu": 0.000,
  "lattice": [[2.1582, -6.4164, 0.0000], [2.1582, 6.4164, 0.0000], [0.0000, 0.0000, 3.7574]],
  "species": ["Tl", "Ag", "Ag", "Pd", "Pd", "Pd"],
  "fractional_positions": [[0.0000, 0.0000, 0.0000], [0.3283, 0.6717, 0.0000], [0.6717, 0.3283, 0.0000], [0.1655, 0.8345, 0.5000], [0.5000, 0.5000, 0.5000], [0.8345, 0.1655, 0.5000]]
}

---

Entry 3:
{
  "formula": "Tl2AgPd3",
  "functional": "PBE",
  "state": "optimized geometry",
  "spacegroup": "Cmmm",
  "e_above_lowest_polymorph_ev_per_fu": 0.000,
  "lattice": [[2.1176, -6.5840, 0.0000], [2.1176, 6.5840, 0.0000], [0.0000, 0.0000, 3.9495]],
  "species": ["Tl", "Tl", "Ag", "Pd", "Pd", "Pd"],
  "fractional_positions": [[0.1581, 0.8419, 0.0000], [0.8419, 0.1581, 0.0000], [0.5000, 0.5000, 0.0000], [0.0000, 0.0000, 0.5000], [0.3334, 0.6666, 0.5000], [0.6666, 0.3334, 0.5000]]
}

---

Record-wise E values, in eV per atom: -3.858; -4.064; -3.992
Record-wise DFT formation energy values, in eV per atom: -0.018; -0.123; -0.131